No. 1
The following is a GGA-PBE calculation of a geometry-optimized GeSb4Te structure, from Alexandria.

Geometry as POSCAR:
```
GeSb4Te
1.0
8.921 -3.198 0.000
8.921 3.198 0.000
-1.825 0.000 6.335
Ge Sb Te
2 8 2
direct
0.000 0.500 0.000
0.500 0.000 0.500
0.001 0.332 0.545
0.159 0.669 0.101
0.331 0.841 0.399
0.332 0.001 0.045
0.668 0.999 0.955
0.669 0.159 0.601
0.841 0.331 0.899
0.999 0.668 0.455
0.300 0.700 0.750
0.700 0.300 0.250
```

Output
Its space-group type is No. 15. The volume is 361.44 Å³/cell.



No. 2
The following is a GGA-PBE calculation of a geometry-optimized Ge2SbTe structure, from Alexandria.

Geometry as POSCAR:
```
Ge2SbTe
1.0
2.070 1.195 6.869
-2.070 1.195 6.869
0.000 -2.391 6.869
Ge Sb Te
2 1 1
direct
0.246 0.246 0.246
0.754 0.754 0.754
0.500 0.500 0.500
0.000 0.000 0.000
```

Output
Its space-group type is No. 166. The volume is 101.99 Å³/cell. The value obtained for the polymorph energy (0 for the lowest one) is 0.0 meV per atom.



No. 3
The following is a GGA-PBE calculation of a geometry-optimized GeSbTe4 structure, from Alexandria.

Geometry as POSCAR:
```
GeSbTe4
1.0
6.500 -2.146 0.000
6.500 2.146 0.000
-3.236 0.000 6.559
Ge Sb Te
1 1 4
direct
0.000 0.000 0.000
0.500 0.500 0.500
0.152 0.152 0.455
0.351 0.351 0.029
0.649 0.649 0.971
0.848 0.848 0.545
```

Output
Its space-group type is No. 12. The volume is 182.95 Å³/cell.



Number 1: uncorrected formation energy 0.2377 eV/atom. Number 2: uncorrected formation energy 0.0685 eV/atom. Number 3: uncorrected formation energy 0.0082 eV/atom.